A plane-wave DFT calculation with GGA-PBE was carried out for an optimized crystal structure of KBaNi2.

Output
V in Å³/atom: 32.6
Raw total energy in eV per atom: -3.323
D(E_F) in states/eV per cell: 4.04

POSCAR file:
```
KBaNi2
1.0
-2.096 2.307 6.740
2.096 -2.307 6.740
2.096 2.307 -6.740
K Ba Ni
1 1 2
direct
0.000 0.000 0.000 K
0.745 0.245 0.500 Ba
0.328 0.828 0.500 Ni
0.389 0.389 0.000 Ni
```